[1]
An optimized crystal structure of ZnCoPb2, computed with PBE.

Cell and atoms, written as POSCAR:
```
ZnCoPb2
1.0
3.123 0.000 0.000
0.000 4.390 0.000
0.000 0.000 12.726
Zn Co Pb
2 2 4
Cartesian
0.000 0.000 0.000 Zn
1.561 2.195 6.363 Zn
0.000 2.195 8.397 Co
1.561 0.000 2.033 Co
0.000 0.000 4.690 Pb
0.000 2.195 2.120 Pb
1.561 0.000 8.483 Pb
1.561 2.195 11.053 Pb
```

ΔE_f ... 0.317 eV/atom
Total magnetization ... 1.06 Bohr magnetons per cell


[2]
An optimized crystal structure of ZnCoPb3, computed with PBE.

Cell and atoms, written as POSCAR:
```
ZnCoPb3
1.0
5.107 0.000 0.000
0.000 5.107 0.000
0.000 0.000 5.107
Zn Co Pb
1 1 3
Cartesian
0.000 0.000 0.000 Zn
2.554 2.554 2.554 Co
0.000 2.554 2.554 Pb
2.554 0.000 2.554 Pb
2.554 2.554 0.000 Pb
```

ΔE_f ... 0.307 eV/atom
Polymorph energy (0 for the lowest one) ... 0 meV per atom
Total magnetization ... 0.76 Bohr magnetons per cell


[3]
An optimized crystal structure of Zn2Co2Pb, computed with PBE.

Cell and atoms, written as POSCAR:
```
Zn2Co2Pb
1.0
7.155 0.000 0.000
0.000 7.155 0.000
0.000 0.000 2.976
Zn Co Pb
4 4 2
Cartesian
0.891 2.686 0.000 Zn
2.686 6.264 0.000 Zn
4.469 0.891 0.000 Zn
6.264 4.469 0.000 Zn
1.185 4.763 1.488 Co
2.392 1.185 1.488 Co
4.763 5.970 1.488 Co
5.970 2.392 1.488 Co
0.000 0.000 0.000 Pb
3.577 3.577 0.000 Pb
```

ΔE_f ... 0.345 eV/atom
Polymorph energy (0 for the lowest one) ... 100 meV per atom
Total magnetization ... 3.93 Bohr magnetons per cell


[4]
An optimized crystal structure of ZnCoPb2, computed with PBE.

Cell and atoms, written as POSCAR:
```
ZnCoPb2
1.0
3.242 0.000 0.000
0.000 3.242 0.000
0.000 0.000 8.313
Zn Co Pb
1 1 2
Cartesian
0.000 0.000 0.000 Zn
1.621 1.621 1.024 Co
0.000 0.000 2.900 Pb
1.621 1.621 6.156 Pb
```

ΔE_f ... 0.227 eV/atom
Total magnetization ... 0.95 Bohr magnetons per cell


[5]
An optimized crystal structure of ZnCoPb2, computed with PBE.

Cell and atoms, written as POSCAR:
```
ZnCoPb2
1.0
4.242 0.000 0.000
0.000 5.098 0.000
0.000 0.000 7.880
Zn Co Pb
2 2 4
Cartesian
0.000 0.000 0.000 Zn
2.121 2.549 3.940 Zn
0.000 0.000 3.940 Co
2.121 2.549 0.000 Co
0.000 2.549 1.829 Pb
0.000 2.549 6.051 Pb
2.121 0.000 2.111 Pb
2.121 0.000 5.768 Pb
```

ΔE_f ... 0.478 eV/atom
Total magnetization ... 1.92 Bohr magnetons per cell


[6]
An optimized crystal structure of Zn2CoPb, computed with PBE.

Cell and atoms, written as POSCAR:
```
Zn2CoPb
1.0
3.352 0.000 0.000
0.000 4.329 0.000
-1.613 0.000 4.940
Zn Co Pb
2 1 1
Cartesian
0.027 0.000 1.468 Zn
1.712 0.000 3.471 Zn
0.869 2.165 2.470 Co
1.676 2.165 0.000 Pb
```

ΔE_f ... 0.314 eV/atom
Total magnetization ... 0.69 Bohr magnetons per cell


[7]
An optimized crystal structure of Zn3CoPb, computed with PBE.

Cell and atoms, written as POSCAR:
```
Zn3CoPb
1.0
4.638 0.000 0.000
0.000 4.638 0.000
0.000 0.000 4.638
Zn Co Pb
3 1 1
Cartesian
0.000 0.000 2.319 Zn
0.000 2.319 0.000 Zn
2.319 0.000 0.000 Zn
0.000 0.000 0.000 Co
2.319 2.319 2.319 Pb
```

ΔE_f ... 0.274 eV/atom
Total magnetization ... 0.00 Bohr magnetons per cell


[8]
An optimized crystal structure of ZnCoPb4, computed with PBE.

Cell and atoms, written as POSCAR:
```
ZnCoPb4
1.0
0.000 4.484 4.484
4.484 0.000 4.484
4.484 4.484 0.000
Zn Co Pb
1 1 4
Cartesian
0.000 0.000 0.000 Zn
6.726 6.726 6.726 Co
3.366 3.366 3.366 Pb
5.601 5.601 3.366 Pb
5.601 3.366 5.601 Pb
3.366 5.601 5.601 Pb
```

ΔE_f ... 0.798 eV/atom
Total magnetization ... 2.08 Bohr magnetons per cell


[9]
An optimized crystal structure of Zn2CoPb, computed with PBE.

Cell and atoms, written as POSCAR:
```
Zn2CoPb
1.0
3.094 0.000 0.000
-1.547 2.679 0.000
0.000 0.000 26.930
Zn Co Pb
6 3 3
Cartesian
0.000 0.000 6.235 Zn
0.000 0.000 20.695 Zn
0.000 1.786 11.718 Zn
0.000 1.786 24.188 Zn
1.547 0.893 2.742 Zn
1.547 0.893 15.211 Zn
0.000 0.000 13.465 Co
0.000 1.786 4.488 Co
1.547 0.893 22.441 Co
0.000 0.000 0.000 Pb
0.000 1.786 17.953 Pb
1.547 0.893 8.976 Pb
```

ΔE_f ... 0.321 eV/atom
Total magnetization ... 3.06 Bohr magnetons per cell


[10]
An optimized crystal structure of ZnCoPb2, computed with PBE.

Cell and atoms, written as POSCAR:
```
ZnCoPb2
1.0
4.531 0.000 0.000
0.000 3.488 0.000
-1.878 0.000 5.490
Zn Co Pb
1 1 2
Cartesian
0.000 0.000 0.000 Zn
1.326 1.744 2.745 Co
-0.939 0.000 2.745 Pb
2.265 1.744 0.000 Pb
```

ΔE_f ... 0.471 eV/atom
Total magnetization ... 1.24 Bohr magnetons per cell


[11]
An optimized crystal structure of ZnCoPb2, computed with PBE.

Cell and atoms, written as POSCAR:
```
ZnCoPb2
1.0
6.078 0.000 0.000
0.000 3.502 0.000
-2.085 0.000 8.213
Zn Co Pb
2 2 4
Cartesian
0.000 0.000 0.000 Zn
3.039 1.751 0.000 Zn
-1.043 1.751 4.107 Co
1.996 0.000 4.107 Co
-0.030 0.000 5.905 Pb
0.983 1.751 2.308 Pb
3.009 1.751 5.905 Pb
4.022 0.000 2.308 Pb
```

ΔE_f ... 0.376 eV/atom
Total magnetization ... 1.32 Bohr magnetons per cell


[12]
An optimized crystal structure of ZnCoPb2, computed with PBE.

Cell and atoms, written as POSCAR:
```
ZnCoPb2
1.0
3.920 0.000 0.000
0.000 4.196 0.000
-1.958 0.000 5.074
Zn Co Pb
1 1 2
Cartesian
0.000 0.000 0.000 Zn
-0.005 2.098 1.345 Co
0.002 2.098 4.258 Pb
1.962 0.000 2.157 Pb
```

ΔE_f ... 0.278 eV/atom
Total magnetization ... 0.96 Bohr magnetons per cell